No. 1
Density functional theory data (GGA-PBEsol) for a geometry-optimized ZrZnCu structure.

Calculated values
The total energy is -0.1772 Ha/atom. As for the space-group type: F-43m (216). For the density of states at the Fermi level, the calculation gives 3.5 states/eV/f.u. The formation energy is 0.1801 eV per atom.

The structure in POSCAR format:
```
ZrZnCu
1.0
4.203 0.000 0.000
2.101 3.640 0.000
2.101 1.213 3.431
Zn Cu Zr
1 1 1
Direct
0.250 0.250 0.250
0.500 0.500 0.500
0.000 0.000 0.000
```

---

No. 2
Density functional theory data (GGA-PBEsol) for a geometry-optimized Zn4CoTe structure.

Calculated values
The formation energy (no corrections) comes out at 29.80 kJ/mol of atoms. The total energy is -0.0964 Ha/atom. As for the space-group type: F-43m (216). For the density of states at the Fermi level, the calculation gives 2.4 states/eV/f.u.

The structure in POSCAR format:
```
Zn4CoTe
1.0
-2.631 1.945 -3.867
-2.572 -3.063 -3.108
-5.064 -0.043 0.106
Co Zn Te
1 4 1
Direct
0.750 0.750 0.750
0.376 0.871 0.376
0.871 0.376 0.376
0.376 0.376 0.376
0.376 0.376 0.871
0.000 0.000 0.000
```

---

No. 3
Density functional theory data (GGA-PBEsol) for a geometry-optimized RbTiPO5 structure.

Calculated values
The formation energy (no corrections) comes out at -254.17 kJ/mol of atoms. The total energy is -0.2869 Ha/atom. As for the space-group type: Pna2_1 (33). For the density of states at the Fermi level, the calculation gives 0.0 states/eV/f.u.

The structure in POSCAR format:
```
RbTiPO5
1.0
6.506 0.000 0.000
0.000 10.573 0.000
0.000 0.000 12.965
O Ti Rb P
40 8 8 8
Direct
0.959 0.385 0.780
0.694 0.543 0.887
0.541 0.385 0.280
0.464 0.644 0.487
0.536 0.144 0.513
0.187 0.485 0.387
0.961 0.129 0.751
0.196 0.788 0.404
0.052 0.638 0.777
0.036 0.644 0.987
0.041 0.885 0.220
0.806 0.543 0.387
0.459 0.885 0.720
0.696 0.288 0.096
0.194 0.043 0.613
0.687 0.985 0.113
0.461 0.629 0.749
0.539 0.129 0.251
0.298 0.746 0.098
0.813 0.985 0.613
0.964 0.144 0.013
0.202 0.746 0.598
0.518 0.379 0.486
0.804 0.288 0.596
0.018 0.879 0.014
0.552 0.138 0.723
0.948 0.138 0.223
0.482 0.879 0.514
0.702 0.246 0.902
0.306 0.043 0.113
0.982 0.379 0.986
0.313 0.485 0.887
0.458 0.899 0.251
0.542 0.399 0.749
0.448 0.638 0.277
0.039 0.629 0.249
0.958 0.399 0.249
0.042 0.899 0.751
0.798 0.246 0.402
0.304 0.788 0.904
0.001 0.021 0.128
0.261 0.771 0.754
0.501 0.521 0.372
0.999 0.521 0.872
0.239 0.771 0.254
0.739 0.271 0.246
0.499 0.021 0.628
0.761 0.271 0.746
0.781 0.707 0.619
0.219 0.207 0.381
0.309 0.457 0.107
0.191 0.457 0.607
0.281 0.207 0.881
0.809 0.957 0.393
0.719 0.707 0.119
0.691 0.957 0.893
0.503 0.515 0.820
0.003 0.015 0.680
0.836 0.267 0.000
0.664 0.267 0.500
0.997 0.515 0.320
0.164 0.767 0.000
0.336 0.767 0.500
0.497 0.015 0.180
```

---

No. 4
Density functional theory data (GGA-PBEsol) for a geometry-optimized ReRhSe2 structure.

Calculated values
The formation energy (no corrections) comes out at 63.07 kJ/mol of atoms. The total energy is -0.2440 Ha/atom. As for the space-group type: Pmmm (47). For the density of states at the Fermi level, the calculation gives 4.5 states/eV/f.u.

The structure in POSCAR format:
```
ReRhSe2
1.0
2.915 0.000 0.000
0.000 4.182 0.000
0.000 0.000 5.199
Rh Se Re
1 2 1
Direct
0.000 0.500 0.500
0.000 0.000 0.000
0.500 0.000 0.500
0.500 0.500 0.000
```